VASP calculation (PBE) on an optimized crystal structure of Sm2GdPu.

Lattice parameters (Å, degrees): 5.662 5.662 5.662 60.00 60.00 60.00
Element x y z (fractional)
Sm1 0.250 0.250 0.250
Sm2 0.750 0.750 0.750
Gd1 0.000 0.000 0.000
Pu1 0.500 0.500 0.500

Computed properties:
- spin magnetization (μB per formula unit) = 14.4
- formation energy (meV/atom) = 199
- total energy (eV for the cell shown) = -37.1
- crystal system = cubic
- N(E_F) (states/eV/atom) = 3.0997
- SG = Fm-3m